Here is crystalline La2Ti3VO10 at its relaxed geometry from the Alexandria database. Energies are from PBE with a Hubbard U.

Geometry as extended XYZ:
```
16
Lattice="-1.975 1.975 12.419 1.975 -1.975 12.419 1.975 1.975 -12.419" Properties=species:S:1:pos:R:3 pbc="T T T"
La 0.000 0.000 2.104
La 0.000 0.000 22.734
Ti 0.000 0.000 8.397
Ti 0.000 0.000 12.419
Ti 0.000 0.000 16.441
V 0.000 1.975 6.210
O 1.975 0.000 3.593
O 0.000 0.000 6.532
O 1.975 0.000 8.827
O 0.000 0.000 10.481
O 0.000 1.975 0.063
O 0.000 0.000 14.357
O 0.000 1.975 3.968
O 0.000 0.000 18.306
O 0.000 1.975 8.451
O 0.000 1.975 12.356
```

Results
Space-group type: I-4m2 (119)
VASP energy in eV per atom: -8.6835
ρ in g/cm3: 5.42